# La3AgN, relaxed, DFT GGA-PBE
# E_tot = -5.847 eV/atom
data_La3AgN
_chemical_formula_sum 'La12 Ag4 N4'
_space_group_name_H-M_alt 'C m c m'
_space_group_IT_number 63
_space_group_name_Hall '-C 2c 2'
_cell_length_a 3.750
_cell_length_b 13.763
_cell_length_c 10.182
_cell_angle_alpha 90.00
_cell_angle_beta 90.00
_cell_angle_gamma 90.00
loop_
_atom_site_label
_atom_site_type_symbol
_atom_site_fract_x
_atom_site_fract_y
_atom_site_fract_z
_atom_site_occupancy
La1 La 0.000 0.053 0.250 1
La2 La 0.000 0.380 0.053 1
Ag1 Ag 0.000 0.251 0.750 1
N1 N 0.000 0.000 0.000 1

=====

# La6Ag2N, relaxed, DFT GGA-PBE
# E_tot = -5.248 eV/atom
data_La6Ag2N
_chemical_formula_sum 'La12 Ag4 N2'
_space_group_name_H-M_alt 'P 1 21/c 1'
_space_group_IT_number 14
_cell_length_a 6.769
_cell_length_b 7.561
_cell_length_c 12.528
_cell_angle_alpha 90.00
_cell_angle_beta 122.08
_cell_angle_gamma 90.00
loop_
_space_group_symop_operation_xyz
'x,y,z'
'-x,-y,-z'
'-x,y+1/2,-z+1/2'
'x,-y+1/2,z+1/2'
loop_
_atom_site_label
_atom_site_type_symbol
_atom_site_fract_x
_atom_site_fract_y
_atom_site_fract_z
_atom_site_occupancy
La1 La 0.115 0.025 0.234 1
La2 La 0.214 0.709 0.049 1
La3 La 0.363 0.174 0.046 1
Ag1 Ag 0.315 0.095 0.745 1
N1 N 0.000 0.000 0.000 1

=====

# NaLa2AgN, relaxed, DFT GGA-PBE
# energy above the most stable polymorph in this dataset = 1238 meV per atom
data_NaLa2AgN
_chemical_formula_sum 'Na1 La2 Ag1 N1'
_space_group_name_H-M_alt 'P 4/m m m'
_space_group_IT_number 123
_space_group_name_Hall '-P 4 2'
_cell_length_a 5.599
_cell_length_b 5.599
_cell_length_c 4.011
_cell_angle_alpha 90.00
_cell_angle_beta 90.00
_cell_angle_gamma 90.00
loop_
_atom_site_label
_atom_site_type_symbol
_atom_site_fract_x
_atom_site_fract_y
_atom_site_fract_z
_atom_site_occupancy
Na1 Na 0.000 0.000 0.000 1
La1 La 0.000 0.500 0.000 1
Ag1 Ag 0.500 0.500 0.500 1
N1 N 0.000 0.000 0.500 1

=====

# NaLa2AgN, relaxed, DFT GGA-PBE
# energy above the most stable polymorph in this dataset = 0 meV per atom
data_NaLa2AgN
_chemical_formula_sum 'Na1 La2 Ag1 N1'
_space_group_name_H-M_alt 'P 4/m m m'
_space_group_IT_number 123
_space_group_name_Hall '-P 4 2'
_cell_length_a 5.015
_cell_length_b 5.015
_cell_length_c 4.916
_cell_angle_alpha 90.00
_cell_angle_beta 90.00
_cell_angle_gamma 90.00
loop_
_atom_site_label
_atom_site_type_symbol
_atom_site_fract_x
_atom_site_fract_y
_atom_site_fract_z
_atom_site_occupancy
Na1 Na 0.000 0.000 0.000 1
La1 La 0.000 0.500 0.500 1
Ag1 Ag 0.500 0.500 0.000 1
N1 N 0.000 0.000 0.500 1

=====

Number 1: mass density 6.81 g/cm3, N(E_F) 0.97 states/eV/atom. Number 2: mass density 6.50 g/cm3, N(E_F) 1.07 states/eV/atom. Number 3: mass density 5.58 g/cm3, N(E_F) 1.16 states/eV/atom. Number 4: mass density 5.68 g/cm3, N(E_F) 0.93 states/eV/atom.